Entry from the Alexandria database: an optimized crystal structure of MnTl2Ru (PBE).

a b c (Å): 4.236 3.595 5.538
angles (deg): 71.34 90.00 90.00
Fractional positions:
Ru 0.500 0.561 0.755
Tl 0.000 0.971 0.937
Tl 0.500 0.279 0.311
Mn 0.000 0.689 0.496

For the energy of formation, the calculation gives 49.1 kJ/mol of atoms. The energy above the most stable polymorph in this dataset is 13.2 kJ/mol of atoms.

---

Entry from the Alexandria database: an optimized crystal structure of MnTlRu2 (PBE).

a b c (Å): 7.104 7.104 5.691
angles (deg): 51.38 51.38 90.00
Fractional positions:
Mn 0.250 0.750 0.500
Mn 0.500 0.500 0.000
Ru 0.875 0.811 0.750
Ru 0.189 0.625 0.250
Ru 0.561 0.125 0.250
Ru 0.375 0.439 0.750
Tl 0.000 0.000 0.000
Tl 0.750 0.250 0.500

For the energy of formation, the calculation gives 73.1 kJ/mol of atoms. The energy above the most stable polymorph in this dataset is 43.3 kJ/mol of atoms.

---

Entry from the Alexandria database: an optimized crystal structure of Tm2MnRu3 (PBE).

a b c (Å): 5.338 5.338 8.421
angles (deg): 90.00 90.00 120.00
Fractional positions:
Tm 0.333 0.667 0.934
Tm 0.667 0.333 0.066
Tm 0.667 0.333 0.434
Tm 0.333 0.667 0.566
Ru 0.170 0.830 0.250
Ru 0.340 0.170 0.750
Ru 0.170 0.340 0.250
Ru 0.830 0.170 0.750
Ru 0.660 0.830 0.250
Ru 0.830 0.660 0.750
Mn 0.000 0.000 0.500
Mn 0.000 0.000 0.000

For the energy of formation, the calculation gives -32.1 kJ/mol of atoms.

---

Entry from the Alexandria database: an optimized crystal structure of TmMnRuW (PBE).

a b c (Å): 4.481 4.481 4.481
angles (deg): 60.00 60.00 60.00
Fractional positions:
Ru 0.750 0.750 0.750
Tm 0.000 0.000 0.000
W 0.500 0.500 0.500
Mn 0.250 0.250 0.250

For the energy of formation, the calculation gives 3.9 kJ/mol of atoms.